Density functional theory data (PBE) for a geometry-optimized Tl3Ge structure.

The energy is -0.10162 hartree per atom. As for the energy of formation: 0.164 eV per atom.

The space group is P6_3/mmc (No. 194) and the conventional cell measures 6.8608, 6.8608 and 5.5012 Å, with angles of 90.00, 90.00 and 120.00 degrees. The inequivalent atoms are Tl at (0.1725, 0.3450, 0.2500) and Ge at (0.3333, 0.6667, 0.7500).

Density functional theory data (PBE) for a geometry-optimized Cu2WSe structure.

The value obtained for the raw formation energy is 45.82 kJ per mole of atoms. The energy is -0.20883 hartree per atom.

The space group is P4/mmm (No. 123) and the conventional cell measures 3.424, 3.424 and 5.048 Å, with angles of 90.00, 90.00 and 90.00 degrees. The inequivalent atoms are Cu at (0.000, 0.000, 0.239), W at (0.500, 0.500, 0.000) and Se at (0.500, 0.500, 0.500).

Density functional theory data (PBE) for a geometry-optimized YMg2Cu2 structure.

The energy relative to the lowest polymorph listed for this composition comes out at 31.3 meV per atom. The energy is -0.13563 hartree per atom. As for the energy of formation: -0.122 eV per atom.

The space group is C2/m (No. 12) and the conventional cell measures 8.156, 4.793 and 5.251 Å, with angles of 90.00, 90.52 and 90.00 degrees. The inequivalent atoms are Y at (0.000, 0.000, 0.000), Mg at (0.168, 0.500, 0.371) and Cu at (0.163, 0.500, 0.870).

Density functional theory data (PBE) for a geometry-optimized Dy6Cd2Rh structure.

The energy is -0.15950 hartree per atom. As for the energy of formation: -0.252 eV per atom.

The space group is P2_1/c (No. 14) and the conventional cell measures 6.959, 7.266 and 12.423 Å, with angles of 90.00, 123.48 and 90.00 degrees. The inequivalent atoms are Dy at (0.149, 0.001, 0.247), Dy at (0.219, 0.701, 0.039), Dy at (0.345, 0.188, 0.044), Cd at (0.289, 0.083, 0.750) and Rh at (0.500, 0.000, 0.500).

Density functional theory data (PBE) for a geometry-optimized AcY6Er3 structure.

The energy is -0.20458 hartree per atom. As for the energy of formation: 0.091 eV per atom.

The space group is P2_1/c (No. 14) and the conventional cell measures 7.514, 9.448 and 12.065 Å, with angles of 90.00, 128.48 and 90.00 degrees. The inequivalent atoms are Ac at (0.000, 0.000, 0.000), Y at (0.077, 0.172, 0.327), Y at (0.132, 0.119, 0.631), Y at (0.383, 0.631, 0.882), Er at (0.422, 0.672, 0.172) and Er at (0.500, 0.000, 0.000).

Density functional theory data (PBE) for a geometry-optimized LiPm4Cu5 structure.

The energy is -0.15597 hartree per atom. As for the energy of formation: -0.104 eV per atom.

The space group is P4/mmm (No. 123) and the conventional cell measures 3.493, 3.493 and 17.161 Å, with angles of 90.00, 90.00 and 90.00 degrees. The inequivalent atoms are Li at (0.000, 0.000, 0.000), Pm at (0.000, 0.000, 0.181), Pm at (0.000, 0.000, 0.394), Cu at (0.500, 0.500, 0.073), Cu at (0.500, 0.500, 0.287) and Cu at (0.500, 0.500, 0.500).

Density functional theory data (PBE) for a geometry-optimized MgWAu structure.

The energy relative to the lowest polymorph listed for this composition comes out at 86.2 meV per atom. The energy is -0.20851 hartree per atom. As for the energy of formation: 0.268 eV per atom.

The space group is P3m1 (No. 156) and the conventional cell measures 2.8830, 2.8830 and 7.2029 Å, with angles of 90.00, 90.00 and 120.00 degrees. The inequivalent atoms are Mg at (0.0000, 0.0000, 0.0000), W at (0.6667, 0.3333, 0.3391) and Au at (0.3333, 0.6667, 0.6725).

Density functional theory data (PBE) for a geometry-optimized Nd6SiS3Cl2 structure.

The value obtained for the raw formation energy is -159.85 kJ per mole of atoms. The energy is -0.21433 hartree per atom.

The space group is C2/m (No. 12) and the conventional cell measures 7.151, 12.423 and 7.163 Å, with angles of 90.00, 109.49 and 90.00 degrees. The inequivalent atoms are Nd at (0.229, 0.000, 0.229), Nd at (0.249, 0.158, 0.771), Si at (0.000, 0.000, 0.500), S at (0.000, 0.170, 0.000), S at (0.000, 0.500, 0.000) and Cl at (0.000, 0.332, 0.500).